LaBeRe2 | PBEsol | relaxed

Values from the calculation:
Magnetic moment   0.0 μB per formula unit
E_tot   -8.123 eV per atom
DFT formation energy   0.880 eV per atom
Calculated volume   68.7 Å³/cell

Cell: 3.876 3.876 4.573 Å, 90.00 90.00 90.00°
Space group P4/mmm (No. 123)
Inequivalent atoms, fractional coordinates:
La  0.000  0.000  0.000
Be  0.500  0.500  0.000
Re  0.000  0.500  0.500



SrBiCl2 | PBEsol | relaxed

Values from the calculation:
Magnetic moment   0.0 μB per formula unit
E_tot   -3.877 eV per atom
Calculated volume   437.3 Å³/cell

Cell: 3.8611 3.8611 33.8720 Å, 90.00 90.00 120.00°
Space group R-3m (No. 166, hexagonal axes)
Inequivalent atoms, fractional coordinates:
Sr  0.0000  0.0000  0.0000
Bi  0.0000  0.0000  0.5000
Cl  0.0000  0.0000  0.3831



TlTe3Pt2 | PBEsol | relaxed

Values from the calculation:
Magnetic moment   0.0 μB per formula unit
E_tot   -4.928 eV per atom
Calculated volume   304.7 Å³/cell

Cell: 7.9598 7.9598 5.5528 Å, 90.00 90.00 120.00°
Space group P-3m1 (No. 164)
Inequivalent atoms, fractional coordinates:
Tl  0.3333  0.6667  0.3138
Te  0.1691  0.3383  0.7603
Pt  0.0000  0.0000  0.0000
Pt  0.0000  0.5000  0.0000



LiCuCl3 | PBEsol | relaxed

Values from the calculation:
Magnetic moment   0.0 μB per formula unit
E_tot   -3.292 eV per atom
Calculated volume   102.0 Å³/cell

Cell: 4.672 4.672 4.672 Å, 90.00 90.00 90.00°
Space group Pm-3m (No. 221)
Inequivalent atoms, fractional coordinates:
Li  0.000  0.000  0.000
Cu  0.500  0.500  0.500
Cl  0.000  0.500  0.500